[1]
# PBEsol Rb2CrO4, optimized geometry
# volume	510.12	Å³/cell
# total magnetization	0.00	μB per atom
# formation energy from raw total energies	-2.0071	eV per atom
# final energy	-6.763	eV per atom
data_Rb2CrO4
_chemical_formula_sum 'Rb8 Cr4 O16'
_cell_length_a 7.954
_cell_length_b 6.013
_cell_length_c 10.665
_cell_angle_alpha 90.00
_cell_angle_beta 90.00
_cell_angle_gamma 90.00
_space_group_name_H-M_alt 'P n m a'
_space_group_IT_number 62
loop_
_space_group_symop_operation_xyz
'x,y,z'
'-x,-y,-z'
'-x+1/2,-y,z+1/2'
'x+1/2,y,-z+1/2'
'x+1/2,-y+1/2,-z+1/2'
'-x+1/2,y+1/2,z+1/2'
'-x,y+1/2,-z'
'x,-y+1/2,z'
loop_
_atom_site_label
_atom_site_type_symbol
_atom_site_fract_x
_atom_site_fract_y
_atom_site_fract_z
_atom_site_occupancy
Rb1 Rb 0.013 0.250 0.196 1
Rb2 Rb 0.167 0.750 0.414 1
Cr1 Cr 0.232 0.750 0.079 1
O1 O 0.025 0.750 0.082 1
O2 O 0.196 0.026 0.650 1
O3 O 0.202 0.250 0.432 1


[2]
# PBEsol Rb2Cr2O7, optimized geometry
# volume	793.45	Å³/cell
# total magnetization	0.00	μB per atom
# formation energy from raw total energies	-1.9098	eV per atom
# final energy	-7.299	eV per atom
data_Rb2Cr2O7
_chemical_formula_sum 'Rb8 Cr8 O28'
_cell_length_a 7.669
_cell_length_b 7.602
_cell_length_c 15.140
_cell_angle_alpha 90.00
_cell_angle_beta 115.98
_cell_angle_gamma 90.00
_space_group_name_H-M_alt 'P 1 21/c 1'
_space_group_IT_number 14
loop_
_space_group_symop_operation_xyz
'x,y,z'
'-x,-y,-z'
'-x,y+1/2,-z+1/2'
'x,-y+1/2,z+1/2'
loop_
_atom_site_label
_atom_site_type_symbol
_atom_site_fract_x
_atom_site_fract_y
_atom_site_fract_z
_atom_site_occupancy
Rb1 Rb 0.017 0.114 0.157 1
Rb2 Rb 0.438 0.732 0.638 1
Cr1 Cr 0.102 0.163 0.418 1
Cr2 Cr 0.494 0.215 0.609 1
O1 O 0.023 0.709 0.546 1
O2 O 0.028 0.001 0.643 1
O3 O 0.173 0.224 0.849 1
O4 O 0.309 0.083 0.521 1
O5 O 0.362 0.586 0.805 1
O6 O 0.389 0.682 0.441 1
O7 O 0.397 0.145 0.155 1


[3]
# PBEsol Rb2Cr2O7, optimized geometry
# volume	775.53	Å³/cell
# total magnetization	0.00	μB per atom
# formation energy from raw total energies	-1.9093	eV per atom
# final energy	-7.298	eV per atom
data_Rb2Cr2O7
_chemical_formula_sum 'Rb8 Cr8 O28'
_cell_length_a 13.321
_cell_length_b 7.590
_cell_length_c 7.672
_cell_angle_alpha 90.00
_cell_angle_beta 91.05
_cell_angle_gamma 90.00
_space_group_name_H-M_alt 'C 1 2/c 1'
_space_group_IT_number 15
loop_
_space_group_symop_operation_xyz
'x,y,z'
'-x,-y,-z'
'-x,y,-z+1/2'
'x,-y,z+1/2'
'x+1/2,y+1/2,z'
'-x+1/2,-y+1/2,-z'
'-x+1/2,y+1/2,-z+1/2'
'x+1/2,-y+1/2,z+1/2'
loop_
_atom_site_label
_atom_site_type_symbol
_atom_site_fract_x
_atom_site_fract_y
_atom_site_fract_z
_atom_site_occupancy
Rb1 Rb 0.147 0.144 0.352 1
Cr1 Cr 0.101 0.329 0.859 1
O1 O 0.000 0.435 0.750 1
O2 O 0.059 0.201 0.011 1
O3 O 0.159 0.208 0.719 1
O4 O 0.176 0.476 0.938 1


[4]
# PBEsol Rb2CrSiO, optimized geometry
# volume	158.73	Å³/cell
# total magnetization	1.05	μB per atom
# formation energy from raw total energies	0.0747	eV per atom
# final energy	-4.583	eV per atom
data_Rb2CrSiO
_chemical_formula_sum 'Rb2 Cr1 Si1 O1'
_cell_length_a 6.671
_cell_length_b 6.671
_cell_length_c 3.567
_cell_angle_alpha 90.00
_cell_angle_beta 90.00
_cell_angle_gamma 90.00
_space_group_name_H-M_alt 'P 4/m m m'
_space_group_IT_number 123
_space_group_name_Hall '-P 4 2'
loop_
_atom_site_label
_atom_site_type_symbol
_atom_site_fract_x
_atom_site_fract_y
_atom_site_fract_z
_atom_site_occupancy
Rb1 Rb 0.000 0.500 0.000 1
Cr1 Cr 0.000 0.000 0.000 1
Si1 Si 0.500 0.500 0.500 1
O1 O 0.000 0.000 0.500 1


[5]
# PBEsol CrReO4, optimized geometry
# volume	243.81	Å³/cell
# total magnetization	0.38	μB per atom
# formation energy from raw total energies	-1.7166	eV per atom
# final energy	-9.145	eV per atom
data_CrReO4
_chemical_formula_sum 'Cr4 Re4 O16'
_cell_length_a 5.657
_cell_length_b 6.445
_cell_length_c 6.687
_cell_angle_alpha 90.00
_cell_angle_beta 90.00
_cell_angle_gamma 90.00
_space_group_name_H-M_alt 'I m m m'
_space_group_IT_number 71
_space_group_name_Hall '-I 2 2'
loop_
_atom_site_label
_atom_site_type_symbol
_atom_site_fract_x
_atom_site_fract_y
_atom_site_fract_z
_atom_site_occupancy
Cr1 Cr 0.000 0.000 0.000 1
Cr2 Cr 0.000 0.500 0.500 1
Re1 Re 0.226 0.000 0.500 1
O1 O 0.000 0.000 0.276 1
O2 O 0.000 0.500 0.192 1
O3 O 0.244 0.300 0.500 1


[6]
# PBEsol CrReO4, optimized geometry
# volume	242.26	Å³/cell
# total magnetization	0.41	μB per atom
# formation energy from raw total energies	-1.7314	eV per atom
# final energy	-9.160	eV per atom
data_CrReO4
_chemical_formula_sum 'Cr4 Re4 O16'
_cell_length_a 9.187
_cell_length_b 5.673
_cell_length_c 4.651
_cell_angle_alpha 90.00
_cell_angle_beta 91.83
_cell_angle_gamma 90.00
_space_group_name_H-M_alt 'C 1 2/m 1'
_space_group_IT_number 12
loop_
_space_group_symop_operation_xyz
'x,y,z'
'-x,-y,-z'
'-x,y,-z'
'x,-y,z'
'x+1/2,y+1/2,z'
'-x+1/2,-y+1/2,-z'
'-x+1/2,y+1/2,-z'
'x+1/2,-y+1/2,z'
loop_
_atom_site_label
_atom_site_type_symbol
_atom_site_fract_x
_atom_site_fract_y
_atom_site_fract_z
_atom_site_occupancy
Cr1 Cr 0.238 0.000 0.007 1
Re1 Re 0.000 0.277 0.500 1
O1 O 0.095 0.000 0.312 1
O2 O 0.120 0.500 0.286 1
O3 O 0.147 0.260 0.806 1


[7]
# PBEsol CrReO4, optimized geometry
# volume	121.23	Å³/cell
# total magnetization	0.34	μB per atom
# formation energy from raw total energies	-1.6725	eV per atom
# final energy	-9.101	eV per atom
data_CrReO4
_chemical_formula_sum 'Cr2 Re2 O8'
_cell_length_a 6.444
_cell_length_b 6.674
_cell_length_c 2.819
_cell_angle_alpha 90.00
_cell_angle_beta 90.00
_cell_angle_gamma 90.00
_space_group_name_H-M_alt 'C m m m'
_space_group_IT_number 65
_space_group_name_Hall '-C 2 2'
loop_
_atom_site_label
_atom_site_type_symbol
_atom_site_fract_x
_atom_site_fract_y
_atom_site_fract_z
_atom_site_occupancy
Cr1 Cr 0.000 0.000 0.000 1
Re1 Re 0.000 0.500 0.500 1
O1 O 0.000 0.287 0.000 1
O2 O 0.202 0.000 0.500 1


[8]
# PBEsol CrReO4, optimized geometry
# volume	484.87	Å³/cell
# total magnetization	0.40	μB per atom
# formation energy from raw total energies	-1.7260	eV per atom
# final energy	-9.155	eV per atom
data_CrReO4
_chemical_formula_sum 'Cr8 Re8 O32'
_cell_length_a 5.666
_cell_length_b 13.286
_cell_length_c 6.441
_cell_angle_alpha 90.00
_cell_angle_beta 90.00
_cell_angle_gamma 90.00
_space_group_name_H-M_alt 'C m c m'
_space_group_IT_number 63
_space_group_name_Hall '-C 2c 2'
loop_
_atom_site_label
_atom_site_type_symbol
_atom_site_fract_x
_atom_site_fract_y
_atom_site_fract_z
_atom_site_occupancy
Cr1 Cr 0.000 0.119 0.250 1
Cr2 Cr 0.000 0.367 0.750 1
Re1 Re 0.224 0.376 0.250 1
O1 O 0.000 0.030 0.750 1
O2 O 0.000 0.220 0.750 1
O3 O 0.000 0.262 0.250 1
O4 O 0.000 0.489 0.250 1
O5 O 0.245 0.375 0.550 1